{
  "formula": "CaCe2PmAs4",
  "functional": "GGA-PBE",
  "state": "relaxed",
  "ef_ev_per_atom": -1.39,
  "total_magnetization_mub_per_fu": 0.94,
  "dos_ef_per_ev_atom": 1.014,
  "lattice_angstrom": [[4.242, 0.000, 0.000], [0.000, 7.300, -0.129], [0.000, 2.583, 6.880]],
  "species": ["Ca", "Ce", "Ce", "Pm", "As", "As", "As", "As"],
  "fractional_positions": [[0.000, 0.500, 0.500], [0.000, 0.000, 0.000], [0.500, 0.000, 0.500], [0.500, 0.500, 0.000], [0.000, 0.756, 0.750], [0.000, 0.244, 0.250], [0.500, 0.760, 0.244], [0.500, 0.240, 0.756]]
}

***

{
  "formula": "CaCe2Pm3As6",
  "functional": "GGA-PBE",
  "state": "relaxed",
  "ef_ev_per_atom": -1.43,
  "total_magnetization_mub_per_fu": 0.82,
  "dos_ef_per_ev_atom": 0.711,
  "lattice_angstrom": [[-2.836, 0.972, -2.995], [-5.263, -5.896, 3.071], [-0.908, 7.103, 6.164]],
  "species": ["Ca", "Ce", "Ce", "Pm", "Pm", "Pm", "As", "As", "As", "As", "As", "As"],
  "fractional_positions": [[0.500, 0.000, 0.000], [0.835, 0.670, 0.670], [0.165, 0.330, 0.330], [0.500, 0.500, 0.000], [0.835, 0.165, 0.671], [0.165, 0.835, 0.329], [0.332, 0.912, 0.663], [0.669, 0.580, 0.337], [0.668, 0.088, 0.337], [0.002, 0.255, 0.005], [0.998, 0.745, 0.995], [0.331, 0.420, 0.663]]
}

***

{
  "formula": "CaCePm2As4",
  "functional": "GGA-PBE",
  "state": "relaxed",
  "ef_ev_per_atom": -1.41,
  "total_magnetization_mub_per_fu": 0.10,
  "dos_ef_per_ev_atom": 0.092,
  "lattice_angstrom": [[-5.664, -0.791, 1.701], [1.654, -4.661, 3.337], [2.899, 6.398, 2.166]],
  "species": ["Ca", "Ce", "Pm", "Pm", "As", "As", "As", "As"],
  "fractional_positions": [[0.437, 0.437, 0.000], [0.937, 0.937, 0.000], [0.187, 0.687, 0.500], [0.687, 0.187, 0.500], [0.937, 0.437, 0.000], [0.437, 0.937, 0.000], [0.178, 0.178, 0.481], [0.697, 0.697, 0.519]]
}

***

{
  "formula": "CaCe3Pm2As6",
  "functional": "GGA-PBE",
  "state": "relaxed",
  "ef_ev_per_atom": -1.42,
  "total_magnetization_mub_per_fu": 1.69,
  "dos_ef_per_ev_atom": 1.128,
  "lattice_angstrom": [[7.340, 0.000, 0.001], [-3.668, 6.358, 0.001], [-1.225, -2.120, 6.891]],
  "species": ["Ca", "Ce", "Ce", "Ce", "Pm", "Pm", "As", "As", "As", "As", "As", "As"],
  "fractional_positions": [[0.000, 0.000, 0.000], [0.166, 0.834, 0.500], [0.834, 0.166, 0.500], [0.500, 0.500, 0.500], [0.333, 0.667, 0.000], [0.667, 0.333, 0.000], [0.914, 0.578, 0.744], [0.749, 0.749, 0.256], [0.086, 0.422, 0.256], [0.578, 0.914, 0.744], [0.251, 0.251, 0.744], [0.422, 0.086, 0.256]]
}

***

{
  "formula": "Ca3Ce2PmAs6",
  "functional": "GGA-PBE",
  "state": "relaxed",
  "ef_ev_per_atom": -1.26,
  "total_magnetization_mub_per_fu": 0.00,
  "dos_ef_per_ev_atom": 0.935,
  "lattice_angstrom": [[-2.401, -4.079, 5.681], [-2.697, -1.156, -6.787], [6.639, -2.809, -0.816]],
  "species": ["Ca", "Ca", "Ca", "Ce", "Ce", "Pm", "As", "As", "As", "As", "As", "As"],
  "fractional_positions": [[0.165, 0.835, 0.500], [0.835, 0.165, 0.500], [0.500, 0.500, 0.500], [0.333, 0.667, 0.000], [0.667, 0.333, 0.000], [0.000, 0.000, 0.000], [0.921, 0.582, 0.763], [0.740, 0.740, 0.237], [0.079, 0.418, 0.237], [0.582, 0.921, 0.763], [0.260, 0.260, 0.763], [0.418, 0.079, 0.237]]
}

***

{
  "formula": "CaCe2PrAs4",
  "functional": "GGA-PBE",
  "state": "relaxed",
  "ef_ev_per_atom": -1.38,
  "total_magnetization_mub_per_fu": 0.93,
  "dos_ef_per_ev_atom": 1.024,
  "lattice_angstrom": [[4.261, 0.000, 0.000], [0.000, 7.345, -0.137], [0.000, 2.594, 6.901]],
  "species": ["Ca", "Ce", "Ce", "Pr", "As", "As", "As", "As"],
  "fractional_positions": [[0.000, 0.500, 0.500], [0.000, 0.000, 0.000], [0.500, 0.000, 0.500], [0.500, 0.500, 0.000], [0.000, 0.760, 0.747], [0.000, 0.240, 0.253], [0.500, 0.762, 0.245], [0.500, 0.238, 0.755]]
}

***

{
  "formula": "Ca2CePrAs4",
  "functional": "GGA-PBE",
  "state": "relaxed",
  "ef_ev_per_atom": -1.23,
  "total_magnetization_mub_per_fu": 0.00,
  "dos_ef_per_ev_atom": 0.981,
  "lattice_angstrom": [[-3.670, -2.164, 0.451], [1.322, -3.575, -6.390], [2.882, -3.726, 5.575]],
  "species": ["Ca", "Ca", "Ce", "Pr", "As", "As", "As", "As"],
  "fractional_positions": [[0.500, 0.000, 0.500], [0.000, 0.500, 0.500], [0.000, 0.000, 0.000], [0.500, 0.500, 0.000], [0.500, 0.239, 0.238], [0.500, 0.761, 0.762], [0.000, 0.245, 0.757], [0.000, 0.755, 0.243]]
}

***

{
  "formula": "Ca2CeAs3Pt4",
  "functional": "GGA-PBE",
  "state": "relaxed",
  "ef_ev_per_atom": -0.82,
  "total_magnetization_mub_per_fu": 0.81,
  "dos_ef_per_ev_atom": 0.986,
  "lattice_angstrom": [[-0.690, 0.260, 4.246], [-3.706, -2.149, -0.471], [5.553, -9.904, 1.510]],
  "species": ["Ca", "Ca", "Ce", "As", "As", "As", "Pt", "Pt", "Pt", "Pt"],
  "fractional_positions": [[0.500, 0.000, 0.216], [0.000, 0.500, 0.784], [0.500, 0.500, 0.500], [0.000, 0.000, 0.500], [0.500, 0.000, 0.877], [0.000, 0.500, 0.123], [0.500, 0.500, 0.000], [0.000, 0.000, 0.000], [0.500, 0.000, 0.664], [0.000, 0.500, 0.336]]
}

***

{
  "formula": "CaCePu2As4",
  "functional": "GGA-PBE",
  "state": "relaxed",
  "ef_ev_per_atom": -1.14,
  "total_magnetization_mub_per_fu": 10.04,
  "dos_ef_per_ev_atom": 3.298,
  "lattice_angstrom": [[-0.934, 2.832, -2.949], [0.468, -5.133, -5.078], [-6.474, -3.084, -0.912]],
  "species": ["Ca", "Ce", "Pu", "Pu", "As", "As", "As", "As"],
  "fractional_positions": [[0.000, 0.500, 0.500], [0.500, 0.500, 0.000], [0.000, 0.000, 0.000], [0.500, 0.000, 0.500], [0.000, 0.757, 0.752], [0.000, 0.243, 0.248], [0.500, 0.763, 0.240], [0.500, 0.237, 0.760]]
}

***

{
  "formula": "Ca2CePuAs4",
  "functional": "GGA-PBE",
  "state": "relaxed",
  "ef_ev_per_atom": -1.16,
  "total_magnetization_mub_per_fu": 4.03,
  "dos_ef_per_ev_atom": 1.646,
  "lattice_angstrom": [[4.238, 0.000, 0.000], [0.000, 7.323, 0.119], [0.000, -2.565, 6.767]],
  "species": ["Ca", "Ca", "Ce", "Pu", "As", "As", "As", "As"],
  "fractional_positions": [[0.500, 0.000, 0.500], [0.000, 0.500, 0.500], [0.000, 0.000, 0.000], [0.500, 0.500, 0.000], [0.500, 0.247, 0.233], [0.500, 0.753, 0.767], [0.000, 0.260, 0.770], [0.000, 0.740, 0.230]]
}

***

{
  "formula": "Ca3Ce2PuAs6",
  "functional": "GGA-PBE",
  "state": "relaxed",
  "ef_ev_per_atom": -1.20,
  "total_magnetization_mub_per_fu": 4.11,
  "dos_ef_per_ev_atom": 1.282,
  "lattice_angstrom": [[-7.187, -1.436, -0.521], [3.311, -0.161, 6.557], [-0.094, 7.149, -1.148]],
  "species": ["Ca", "Ca", "Ca", "Ce", "Ce", "Pu", "As", "As", "As", "As", "As", "As"],
  "fractional_positions": [[0.167, 0.833, 0.500], [0.833, 0.167, 0.500], [0.500, 0.500, 0.500], [0.333, 0.667, 0.000], [0.667, 0.333, 0.000], [0.000, 0.000, 0.000], [0.922, 0.592, 0.767], [0.748, 0.748, 0.232], [0.078, 0.408, 0.233], [0.592, 0.922, 0.767], [0.252, 0.252, 0.768], [0.408, 0.078, 0.233]]
}

***

{
  "formula": "CaCe2PuAs4",
  "functional": "GGA-PBE",
  "state": "relaxed",
  "ef_ev_per_atom": -1.25,
  "total_magnetization_mub_per_fu": 6.06,
  "dos_ef_per_ev_atom": 2.417,
  "lattice_angstrom": [[4.221, 0.000, 0.000], [0.000, 7.241, -0.122], [0.000, 2.570, 6.835]],
  "species": ["Ca", "Ce", "Ce", "Pu", "As", "As", "As", "As"],
  "fractional_positions": [[0.000, 0.500, 0.500], [0.000, 0.000, 0.000], [0.500, 0.000, 0.500], [0.500, 0.500, 0.000], [0.000, 0.751, 0.755], [0.000, 0.249, 0.245], [0.500, 0.757, 0.242], [0.500, 0.243, 0.758]]
}

***

{
  "formula": "CaCeAs2Rh4",
  "functional": "GGA-PBE",
  "state": "relaxed",
  "ef_ev_per_atom": -0.66,
  "total_magnetization_mub_per_fu": 0.00,
  "dos_ef_per_ev_atom": 0.539,
  "lattice_angstrom": [[4.091, 0.000, 0.000], [0.000, 4.091, 0.000], [0.000, 0.000, 9.657]],
  "species": ["Ca", "Ce", "As", "As", "Rh", "Rh", "Rh", "Rh"],
  "fractional_positions": [[0.000, 0.000, 0.500], [0.000, 0.000, 0.000], [0.500, 0.500, 0.339], [0.500, 0.500, 0.661], [0.000, 0.500, 0.208], [0.500, 0.000, 0.792], [0.500, 0.000, 0.208], [0.000, 0.500, 0.792]]
}

***

{
  "formula": "CaCeAsS",
  "functional": "GGA-PBE",
  "state": "relaxed",
  "energy_ev_per_atom": -5.8581,
  "total_magnetization_mub_per_fu": 0.91,
  "dos_ef_per_ev_atom": 1.475,
  "lattice_angstrom": [[-1.997, -0.775, -3.585], [2.082, -1.605, -3.246], [-1.421, -7.038, -0.120]],
  "species": ["Ca", "Ce", "As", "S"],
  "fractional_positions": [[0.499, 0.499, 0.502], [0.000, 0.000, 0.000], [0.252, 0.252, 0.245], [0.749, 0.749, 0.753]]
}

***

{
  "formula": "Ca3Ce2ScAs6",
  "functional": "GGA-PBE",
  "state": "relaxed",
  "ef_ev_per_atom": -1.22,
  "total_magnetization_mub_per_fu": 0.00,
  "dos_ef_per_ev_atom": 0.908,
  "lattice_angstrom": [[-2.125, -5.946, -3.542], [5.972, -0.156, 4.089], [-5.023, 0.168, 5.202]],
  "species": ["Ca", "Ca", "Ca", "Ce", "Ce", "Sc", "As", "As", "As", "As", "As", "As"],
  "fractional_positions": [[0.169, 0.831, 0.500], [0.831, 0.169, 0.500], [0.500, 0.500, 0.500], [0.334, 0.666, 0.000], [0.666, 0.334, 0.000], [0.000, 0.000, 0.000], [0.923, 0.599, 0.769], [0.753, 0.753, 0.232], [0.077, 0.401, 0.231], [0.599, 0.923, 0.769], [0.247, 0.247, 0.768], [0.401, 0.077, 0.231]]
}

***

{
  "formula": "CaCe3Sm2As6",
  "functional": "GGA-PBE",
  "state": "relaxed",
  "ef_ev_per_atom": -1.42,
  "total_magnetization_mub_per_fu": 1.70,
  "dos_ef_per_ev_atom": 1.126,
  "lattice_angstrom": [[-1.675, 6.243, 3.452], [-2.782, -6.353, 2.366], [6.908, -0.797, 2.200]],
  "species": ["Ca", "Ce", "Ce", "Ce", "Sm", "Sm", "As", "As", "As", "As", "As", "As"],
  "fractional_positions": [[0.000, 0.000, 0.000], [0.166, 0.834, 0.500], [0.834, 0.166, 0.500], [0.500, 0.500, 0.500], [0.333, 0.667, 0.000], [0.667, 0.333, 0.000], [0.915, 0.578, 0.745], [0.748, 0.748, 0.255], [0.085, 0.422, 0.255], [0.578, 0.915, 0.745], [0.252, 0.252, 0.745], [0.422, 0.085, 0.255]]
}

***

{
  "formula": "CaCeSm2As4",
  "functional": "GGA-PBE",
  "state": "relaxed",
  "ef_ev_per_atom": -1.39,
  "total_magnetization_mub_per_fu": 0.14,
  "dos_ef_per_ev_atom": 0.155,
  "lattice_angstrom": [[-3.056, 0.382, -2.901], [-2.444, -6.676, 1.696], [-4.958, 0.553, 5.294]],
  "species": ["Ca", "Ce", "Sm", "Sm", "As", "As", "As", "As"],
  "fractional_positions": [[0.000, 0.500, 0.500], [0.500, 0.500, 0.000], [0.000, 0.000, 0.000], [0.500, 0.000, 0.500], [0.000, 0.747, 0.755], [0.000, 0.253, 0.245], [0.500, 0.750, 0.243], [0.500, 0.250, 0.757]]
}

***

{
  "formula": "Ca2CeSmAs4",
  "functional": "GGA-PBE",
  "state": "relaxed",
  "ef_ev_per_atom": -1.24,
  "total_magnetization_mub_per_fu": 0.00,
  "dos_ef_per_ev_atom": 0.948,
  "lattice_angstrom": [[-0.020, -4.177, -0.787], [5.978, 0.771, -4.245], [2.011, -1.306, 6.876]],
  "species": ["Ca", "Ca", "Ce", "Sm", "As", "As", "As", "As"],
  "fractional_positions": [[0.500, 0.000, 0.500], [0.000, 0.500, 0.500], [0.000, 0.000, 0.000], [0.500, 0.500, 0.000], [0.500, 0.242, 0.237], [0.500, 0.758, 0.763], [0.000, 0.250, 0.760], [0.000, 0.750, 0.240]]
}

***

{
  "formula": "CaCe2Sm3As6",
  "functional": "GGA-PBE",
  "state": "relaxed",
  "ef_ev_per_atom": -1.43,
  "total_magnetization_mub_per_fu": 0.82,
  "dos_ef_per_ev_atom": 0.709,
  "lattice_angstrom": [[-3.226, -2.573, -0.911], [3.298, -5.924, 5.052], [-3.819, 6.108, 6.073]],
  "species": ["Ca", "Ce", "Ce", "Sm", "Sm", "Sm", "As", "As", "As", "As", "As", "As"],
  "fractional_positions": [[0.500, 0.000, 0.000], [0.835, 0.670, 0.671], [0.165, 0.330, 0.329], [0.500, 0.500, 0.000], [0.835, 0.166, 0.671], [0.165, 0.834, 0.329], [0.331, 0.913, 0.663], [0.668, 0.581, 0.336], [0.669, 0.087, 0.337], [0.002, 0.255, 0.004], [0.998, 0.745, 0.996], [0.332, 0.419, 0.664]]
}

***

{
  "formula": "Sr3CaCe2As6",
  "functional": "GGA-PBE",
  "state": "relaxed",
  "ef_ev_per_atom": -1.13,
  "total_magnetization_mub_per_fu": 0.00,
  "dos_ef_per_ev_atom": 1.459,
  "lattice_angstrom": [[7.546, -0.006, -0.001], [-3.776, 6.533, -0.001], [-1.258, -2.178, 7.108]],
  "species": ["Sr", "Sr", "Sr", "Ca", "Ce", "Ce", "As", "As", "As", "As", "As", "As"],
  "fractional_positions": [[0.163, 0.837, 0.500], [0.837, 0.163, 0.500], [0.500, 0.500, 0.500], [0.000, 0.000, 0.000], [0.333, 0.667, 0.000], [0.667, 0.333, 0.000], [0.926, 0.579, 0.777], [0.729, 0.729, 0.223], [0.074, 0.421, 0.223], [0.579, 0.926, 0.777], [0.271, 0.271, 0.777], [0.421, 0.074, 0.223]]
}

***

{
  "formula": "SrCaCe2As4",
  "functional": "GGA-PBE",
  "state": "relaxed",
  "ef_ev_per_atom": -1.29,
  "total_magnetization_mub_per_fu": 0.00,
  "lattice_angstrom": [[-3.095, -2.967, -0.345], [2.272, -3.105, 6.318], [-3.600, 3.087, 5.743]],
  "species": ["Sr", "Ca", "Ce", "Ce", "As", "As", "As", "As"],
  "fractional_positions": [[0.500, 0.500, 0.000], [0.000, 0.500, 0.500], [0.000, 0.000, 0.000], [0.500, 0.000, 0.500], [0.000, 0.776, 0.738], [0.000, 0.224, 0.262], [0.500, 0.772, 0.246], [0.500, 0.228, 0.754]]
}

***

{
  "formula": "CaTbCe2As4",
  "functional": "GGA-PBE",
  "state": "relaxed",
  "ef_ev_per_atom": -1.39,
  "total_magnetization_mub_per_fu": 0.95,
  "dos_ef_per_ev_atom": 1.018,
  "lattice_angstrom": [[-4.178, -0.346, 0.466], [0.244, -6.679, -2.767], [1.003, -4.855, 5.385]],
  "species": ["Ca", "Tb", "Ce", "Ce", "As", "As", "As", "As"],
  "fractional_positions": [[0.500, 0.500, 0.000], [0.000, 0.500, 0.500], [0.000, 0.000, 0.000], [0.500, 0.000, 0.500], [0.000, 0.757, 0.743], [0.000, 0.243, 0.257], [0.500, 0.751, 0.254], [0.500, 0.249, 0.746]]
}

***

{
  "formula": "Ca3CeTh2As6",
  "functional": "GGA-PBE",
  "state": "relaxed",
  "ef_ev_per_atom": -1.34,
  "total_magnetization_mub_per_fu": 0.00,
  "lattice_angstrom": [[7.428, 0.000, 0.001], [-3.712, 6.434, 0.001], [-1.239, -2.145, 6.879]],
  "species": ["Ca", "Ca", "Ca", "Ce", "Th", "Th", "As", "As", "As", "As", "As", "As"],
  "fractional_positions": [[0.167, 0.833, 0.500], [0.833, 0.167, 0.500], [0.500, 0.500, 0.500], [0.000, 0.000, 0.000], [0.333, 0.667, 0.000], [0.667, 0.333, 0.000], [0.921, 0.591, 0.761], [0.750, 0.750, 0.238], [0.079, 0.409, 0.239], [0.591, 0.921, 0.761], [0.250, 0.250, 0.762], [0.409, 0.079, 0.239]]
}